Material: Th7Co2Sn2
Method: DFT, PBE-GGA
State: optimized geometry

```
Th7Co2Sn2
1.0
4.0841 -5.7025 0.0000
4.0841 5.7025 0.0000
0.0000 0.0000 6.8381
Th Co Sn
7 2 2
direct
0.0000 0.0000 0.0000
0.0000 0.5000 0.2537
0.0000 0.5000 0.7463
0.5000 0.0000 0.2537
0.5000 0.0000 0.7463
0.5000 0.5000 0.2356
0.5000 0.5000 0.7644
0.2645 0.7355 0.0000
0.7355 0.2645 0.0000
0.1735 0.1735 0.5000
0.8265 0.8265 0.5000
```

- Space group: Cmmm
- Total magnetization: 0.00 μB/f.u.
- DFT total energy: -6.894 eV/atom
- Energy of formation: -153 meV per atom

Material: ThCo6Sn12
Method: DFT, PBE-GGA
State: optimized geometry

```
ThCo6Sn12
1.0
6.1789 3.5674 2.9420
-6.1789 3.5674 2.9420
0.0000 -7.1347 2.9420
Th Co Sn
1 6 12
direct
0.0000 0.0000 0.0000
0.2763 0.2763 0.6978
0.2763 0.6978 0.2763
0.3022 0.7237 0.7237
0.6978 0.2763 0.2763
0.7237 0.3022 0.7237
0.7237 0.7237 0.3022
0.1214 0.5000 0.8786
0.1214 0.8786 0.5000
0.1496 0.4074 0.4074
0.4074 0.1496 0.4074
0.4074 0.4074 0.1496
0.5000 0.1214 0.8786
0.5000 0.8786 0.1214
0.5926 0.5926 0.8504
0.5926 0.8504 0.5926
0.8504 0.5926 0.5926
0.8786 0.1214 0.5000
0.8786 0.5000 0.1214
```

- Space group: R-3m
- Total magnetization: 0.00 μB/f.u.
- DFT total energy: -5.090 eV/atom
- Energy of formation: 73 meV per atom

Material: Th3CoSn2
Method: DFT, PBE-GGA
State: optimized geometry

```
Th3CoSn2
1.0
12.7830 0.0000 0.0000
0.0000 4.3909 0.0000
0.0000 0.0000 11.6518
Th Co Sn
12 4 8
direct
0.0570 0.2500 0.1126
0.1170 0.7500 0.5458
0.2412 0.2500 0.7775
0.2588 0.7500 0.2775
0.3830 0.2500 0.0458
0.4430 0.7500 0.6126
0.5570 0.2500 0.3874
0.6170 0.7500 0.9542
0.7412 0.2500 0.7225
0.7588 0.7500 0.2225
0.8830 0.2500 0.4542
0.9430 0.7500 0.8874
0.1242 0.2500 0.3437
0.3758 0.7500 0.8437
0.6242 0.2500 0.1563
0.8758 0.7500 0.6563
0.0040 0.7500 0.3013
0.2011 0.7500 0.9837
0.2989 0.2500 0.4837
0.4960 0.2500 0.8013
0.5040 0.7500 0.1987
0.7011 0.7500 0.5163
0.7989 0.2500 0.0163
0.9960 0.2500 0.6987
```

- Space group: Pnma
- Total magnetization: 0.00 μB/f.u.
- DFT total energy: -6.694 eV/atom
- Energy above the most stable polymorph in this dataset: 0 meV/atom
- Energy of formation: -465 meV per atom

Material: Th12Co6Sn
Method: DFT, PBE-GGA
State: optimized geometry

```
Th12Co6Sn
1.0
-4.9719 4.9719 4.9719
4.9719 -4.9719 4.9719
4.9719 4.9719 -4.9719
Th Co Sn
12 6 1
direct
0.1356 0.8215 0.3140
0.1785 0.3140 0.4925
0.1785 0.6860 0.8644
0.3140 0.1356 0.8215
0.3140 0.4925 0.1785
0.4925 0.1785 0.3140
0.5075 0.8215 0.6860
0.6860 0.5075 0.8215
0.6860 0.8644 0.1785
0.8215 0.3140 0.1356
0.8215 0.6860 0.5075
0.8644 0.1785 0.6860
0.1327 0.6327 0.5000
0.3673 0.5000 0.8673
0.5000 0.1327 0.6327
0.5000 0.8673 0.3673
0.6327 0.5000 0.1327
0.8673 0.3673 0.5000
0.0000 0.0000 0.0000
```

- Space group: Im-3
- Total magnetization: 0.00 μB/f.u.
- DFT total energy: -7.386 eV/atom
- Energy of formation: -245 meV per atom

Material: Th12Co5Sn
Method: DFT, PBE-GGA
State: optimized geometry

```
Th12Co5Sn
1.0
-4.7209 4.8181 5.1940
4.7209 -4.8181 5.1940
4.7209 4.8181 -5.1940
Th Co Sn
12 5 1
direct
0.0276 0.2041 0.8235
0.1830 0.3080 0.4910
0.1830 0.6920 0.8750
0.3278 0.0137 0.6859
0.3278 0.6419 0.3141
0.3806 0.2041 0.1765
0.6194 0.7959 0.8235
0.6722 0.3581 0.6859
0.6722 0.9863 0.3141
0.8170 0.3080 0.1250
0.8170 0.6920 0.5090
0.9724 0.7959 0.1765
0.0000 0.0000 0.0000
0.1290 0.6290 0.5000
0.3603 0.0000 0.3603
0.6397 0.0000 0.6397
0.8710 0.3710 0.5000
0.5000 0.5000 0.0000
```

- Space group: Immm
- Total magnetization: 0.00 μB/f.u.
- DFT total energy: -7.338 eV/atom
- Energy of formation: -195 meV per atom

Material: Th2CoSn
Method: DFT, PBE-GGA
State: optimized geometry

```
Th2CoSn
1.0
1.9183 1.1076 9.6767
-1.9183 1.1076 9.6767
0.0000 -2.2151 9.6767
Th Co Sn
2 1 1
direct
0.1131 0.1131 0.1131
0.8869 0.8869 0.8869
0.5000 0.5000 0.5000
0.0000 0.0000 0.0000
```

- Space group: R-3m
- Total magnetization: 0.00 μB/f.u.
- DFT total energy: -6.503 eV/atom
- Energy above the most stable polymorph in this dataset: 341 meV/atom
- Energy of formation: -16 meV per atom

Material: Ti3CoSn
Method: DFT, PBE-GGA
State: optimized geometry

```
Ti3CoSn
1.0
4.5141 0.0000 0.0000
0.0000 4.5141 0.0000
0.0000 0.0000 4.5141
Ti Co Sn
3 1 1
direct
0.0000 0.0000 0.5000
0.0000 0.5000 0.0000
0.5000 0.0000 0.0000
0.0000 0.0000 0.0000
0.5000 0.5000 0.5000
```

- Space group: Pm-3m
- Total magnetization: 0.00 μB/f.u.
- DFT total energy: -7.022 eV/atom
- Energy above the most stable polymorph in this dataset: 198 meV/atom
- Energy of formation: -63 meV per atom

Material: Ti4CoSn
Method: DFT, PBE-GGA
State: optimized geometry

```
Ti4CoSn
1.0
6.5535 -2.5000 0.0000
6.5535 2.5000 0.0000
-1.7466 0.0000 6.4864
Ti Co Sn
8 2 2
direct
0.0417 0.7989 0.5627
0.1703 0.4587 0.8597
0.2011 0.9583 0.9373
0.4587 0.1703 0.3597
0.5413 0.8297 0.6403
0.7989 0.0417 0.0627
0.8297 0.5413 0.1403
0.9583 0.2011 0.4373
0.0000 0.5000 0.5000
0.5000 0.0000 0.0000
0.3795 0.6205 0.2500
0.6205 0.3795 0.7500
```

- Space group: C2/c
- Total magnetization: 0.00 μB/f.u.
- DFT total energy: -7.185 eV/atom
- Energy of formation: -70 meV per atom

Material: Ti3CoSn
Method: DFT, PBE-GGA
State: optimized geometry

```
Ti3CoSn
1.0
4.9104 -2.0267 0.0000
4.9104 2.0267 0.0000
-0.4156 0.0000 8.6242
Ti Co Sn
6 2 2
direct
0.0872 0.0872 0.3783
0.3888 0.3888 0.8674
0.3919 0.3919 0.3640
0.6081 0.6081 0.6360
0.6112 0.6112 0.1326
0.9128 0.9128 0.6217
0.2576 0.2576 0.6087
0.7424 0.7424 0.3913
0.1054 0.1054 0.8798
0.8946 0.8946 0.1202
```

- Space group: C2/m
- Total magnetization: 0.00 μB/f.u.
- DFT total energy: -7.207 eV/atom
- Energy above the most stable polymorph in this dataset: 12 meV/atom
- Energy of formation: -248 meV per atom

Material: Ti5CoSn
Method: DFT, PBE-GGA
State: optimized geometry

```
Ti5CoSn
1.0
3.4682 -3.5016 0.0000
3.4682 3.5016 0.0000
-2.6139 0.0000 9.6434
Ti Co Sn
10 2 2
direct
0.0291 0.9709 0.7500
0.0846 0.4408 0.6208
0.2159 0.4993 0.9296
0.4408 0.0846 0.1208
0.4993 0.2159 0.4296
0.5007 0.7841 0.5704
0.5592 0.9154 0.8792
0.7841 0.5007 0.0704
0.9154 0.5592 0.3792
0.9709 0.0291 0.2500
0.0000 0.0000 0.0000
0.0000 0.0000 0.5000
0.3741 0.6259 0.2500
0.6259 0.3741 0.7500
```

- Space group: C2/c
- Total magnetization: 0.00 μB/f.u.
- DFT total energy: -7.342 eV/atom
- Energy of formation: -116 meV per atom

Material: Ti8CoSn2
Method: DFT, PBE-GGA
State: optimized geometry

```
Ti8CoSn2
1.0
7.7606 -2.3218 0.0000
7.7606 2.3218 0.0000
-1.5376 0.0000 5.4156
Ti Co Sn
8 1 2
direct
0.0123 0.0123 0.2531
0.2204 0.2204 0.1355
0.3637 0.3637 0.6947
0.4088 0.4088 0.2397
0.5912 0.5912 0.7603
0.6363 0.6363 0.3053
0.7796 0.7796 0.8645
0.9877 0.9877 0.7469
0.5000 0.5000 0.0000
0.1730 0.1730 0.6223
0.8270 0.8270 0.3777
```

- Space group: C2/m
- Total magnetization: 0.00 μB/f.u.
- DFT total energy: -7.240 eV/atom
- Energy of formation: -124 meV per atom

Material: Ti3CoSn
Method: DFT, PBE-GGA
State: optimized geometry

```
Ti3CoSn
1.0
7.2189 0.0000 0.0000
0.0000 3.6081 0.0000
-3.1891 0.0000 6.6484
Ti Co Sn
6 2 2
direct
0.0248 0.2500 0.2113
0.3248 0.7500 0.5864
0.3316 0.2500 0.9028
0.6684 0.7500 0.0972
0.6752 0.2500 0.4136
0.9752 0.7500 0.7887
0.0758 0.2500 0.5937
0.9242 0.7500 0.4063
0.3258 0.7500 0.1979
0.6742 0.2500 0.8021
```

- Space group: P2_1/m
- Total magnetization: 0.00 μB/f.u.
- DFT total energy: -7.219 eV/atom
- Energy above the most stable polymorph in this dataset: 0 meV/atom
- Energy of formation: -261 meV per atom

> What is the energy of formation in the eleventh record?

-124 meV per atom